1.
The following is a DFT calculation (meta-GGA SCAN) of a PBEsol-optimized structure of P2WSeS.

Cell: 4.493 4.493 4.577 Å, 90.00 90.00 90.00°
Fractional coordinates of all 5 atoms:
P1 0.000 0.500 0.000
P2 0.500 0.000 0.000
W1 0.000 0.000 0.500
Se1 0.500 0.500 0.000
S1 0.500 0.500 0.500

Properties
Total DFT energy (no corrections)   -1.6388 Ry per atom
Magnetization   2.0 Bohr magnetons per cell
Formation energy (no corrections)   1741 meV/atom

***

2.
The following is a DFT calculation (meta-GGA SCAN) of a PBEsol-optimized structure of GaOs3C.

Cell: 4.453 4.453 4.453 Å, 90.00 90.00 90.00°
Fractional coordinates of all 5 atoms:
Ga1 0.000 0.000 0.000
Os1 0.000 0.000 0.500
Os2 0.000 0.500 0.000
Os3 0.500 0.000 0.000
C1 0.500 0.500 0.500

Properties
Energy relative to the elements   3.458 eV per atom
Total DFT energy (no corrections)   -3.3044 Ry per atom
Magnetization   1.6 Bohr magnetons per cell

***

3.
The following is a DFT calculation (meta-GGA SCAN) of a PBEsol-optimized structure of Ge3PS.

Cell: 4.814 4.814 4.814 Å, 90.00 90.00 90.00°
Fractional coordinates of all 5 atoms:
Ge1 0.000 0.000 0.500
Ge2 0.000 0.500 0.000
Ge3 0.500 0.000 0.000
P1 0.500 0.500 0.500
S1 0.000 0.000 0.000

Properties
Total DFT energy (no corrections)   -1.0694 Ry per atom
Magnetization   0.0 Bohr magnetons per cell
Formation energy (no corrections)   908 meV/atom

***

4.
The following is a DFT calculation (meta-GGA SCAN) of a PBEsol-optimized structure of ZrTa2Cl.

Cell: 2.893 2.893 8.449 Å, 90.00 90.00 90.00°
Fractional coordinates of all 4 atoms:
Zr1 0.000 0.000 0.000
Ta1 0.000 0.000 0.456
Ta2 0.500 0.500 0.719
Cl1 0.500 0.500 0.233

Properties
Total DFT energy (no corrections)   -3.1524 Ry per atom
Relative energy among the computed polymorphs   215 meV/atom
Magnetization   0.0 Bohr magnetons per cell
Formation energy (no corrections)   70 meV/atom

***

5.
The following is a DFT calculation (meta-GGA SCAN) of a PBEsol-optimized structure of C3SeI.

Cell: 4.128 4.128 4.128 Å, 90.00 90.00 90.00°
Fractional coordinates of all 5 atoms:
C1 0.000 0.000 0.500
C2 0.000 0.500 0.000
C3 0.500 0.000 0.000
Se1 0.500 0.500 0.500
I1 0.000 0.000 0.000

Properties
Total DFT energy (no corrections)   -1.0080 Ry per atom
Magnetization   0.0 Bohr magnetons per cell
Formation energy (no corrections)   3710 meV/atom

***

6.
The following is a DFT calculation (meta-GGA SCAN) of a PBEsol-optimized structure of Zr2N.

Cell: 5.370 5.370 3.275 Å, 90.00 90.00 90.00°
Fractional coordinates of all 6 atoms:
Zr1 0.204 0.204 0.000
Zr2 0.296 0.704 0.500
Zr3 0.704 0.296 0.500
Zr4 0.796 0.796 0.000
N1 0.000 0.000 0.500
N2 0.500 0.500 0.000

Properties
Total DFT energy (no corrections)   -1.8359 Ry per atom
Magnetization   0.0 Bohr magnetons per cell
Formation energy (no corrections)   -1415 meV/atom

***

7.
The following is a DFT calculation (meta-GGA SCAN) of a PBEsol-optimized structure of Nb2Ni2Ru.

Cell: 6.672 6.672 3.134 Å, 90.00 90.00 90.00°
Fractional coordinates of all 10 atoms:
Nb1 0.180 0.320 0.000
Nb2 0.320 0.820 0.000
Nb3 0.680 0.180 0.000
Nb4 0.820 0.680 0.000
Ni1 0.123 0.623 0.500
Ni2 0.377 0.123 0.500
Ni3 0.623 0.877 0.500
Ni4 0.877 0.377 0.500
Ru1 0.000 0.000 0.500
Ru2 0.500 0.500 0.500

Properties
Energy relative to the elements   -0.227 eV per atom
Total DFT energy (no corrections)   -1.9781 Ry per atom
Magnetization   0.0 Bohr magnetons per cell

***

8.
The following is a DFT calculation (meta-GGA SCAN) of a PBEsol-optimized structure of Ni5Ir3.

Cell: 5.092 5.092 3.651 Å, 90.00 90.00 91.52°
Fractional coordinates of all 8 atoms:
Ni1 0.000 0.000 0.000
Ni2 0.000 0.500 0.000
Ni3 0.247 0.247 0.500
Ni4 0.500 0.000 0.000
Ni5 0.753 0.753 0.500
Ir1 0.247 0.753 0.500
Ir2 0.500 0.500 0.000
Ir3 0.753 0.247 0.500

Properties
Energy relative to the elements   0.040 eV per atom
Total DFT energy (no corrections)   -2.6996 Ry per atom
Magnetization   0.0 Bohr magnetons per cell

***

Copy entry 8 word for word.
The following is a DFT calculation (meta-GGA SCAN) of a PBEsol-optimized structure of Ni5Ir3.

Cell: 5.092 5.092 3.651 Å, 90.00 90.00 91.52°
Fractional coordinates of all 8 atoms:
Ni1 0.000 0.000 0.000
Ni2 0.000 0.500 0.000
Ni3 0.247 0.247 0.500
Ni4 0.500 0.000 0.000
Ni5 0.753 0.753 0.500
Ir1 0.247 0.753 0.500
Ir2 0.500 0.500 0.000
Ir3 0.753 0.247 0.500

Properties
Energy relative to the elements   0.040 eV per atom
Total DFT energy (no corrections)   -2.6996 Ry per atom
Magnetization   0.0 Bohr magnetons per cell

***

Among the records above, which one has the highest total DFT energy (no corrections)?
C3SeI

***

Which of these has the lowest total DFT energy (no corrections)?
GaOs3C